[1]
SnMoI2O | GGA+U | optimized geometry

* calculated volume: 154.2 Å³/f.u.
* energy relative to the lowest polymorph listed for this composition: 0.314 eV per atom
* total magnetization: 1.00 μB/atom

Cell and atoms, written as extended XYZ:
```
5
Lattice="6.166 0.000 0.000 0.000 6.166 0.000 0.000 0.000 4.057" Properties=species:S:1:pos:R:3 pbc="T T T"
Sn 0.000 0.000 0.000
Mo 3.083 3.083 2.029
I 0.000 3.083 0.000
I 3.083 0.000 0.000
O 0.000 0.000 2.029
```

=====

[2]
SnMoIO2 | GGA+U | optimized geometry

* calculated volume: 103.4 Å³/f.u.
* energy relative to the lowest polymorph listed for this composition: 0.000 eV per atom
* total magnetization: 0.56 μB/atom

Cell and atoms, written as extended XYZ:
```
5
Lattice="4.225 0.000 0.000 0.000 4.225 0.000 0.000 0.000 5.792" Properties=species:S:1:pos:R:3 pbc="T T T"
Sn 0.000 0.000 0.000
Mo 2.113 2.113 2.896
I 2.113 2.113 0.000
O 0.000 2.113 2.896
O 2.113 0.000 2.896
```

=====

[3]
SrMoIO6 | GGA+U | optimized geometry

* calculated volume: 141.0 Å³/f.u.
* total magnetization: 0.11 μB/atom
* energy: -53.402 eV/cell

Cell and atoms, written as extended XYZ:
```
9
Lattice="5.234 0.000 0.000 -0.141 5.454 0.000 -0.007 -2.629 4.940" Properties=species:S:1:pos:R:3 pbc="T T T"
Sr 0.000 0.000 0.000
Mo 2.615 0.094 3.301
I 2.332 2.829 1.656
O 1.270 1.229 1.977
O 1.244 3.857 2.860
O 1.309 3.308 0.054
O 3.513 -0.612 1.733
O 3.422 1.883 3.306
O 3.594 -0.722 4.571
```

=====

[4]
SrMoIO2 | GGA+U | optimized geometry

* calculated volume: 105.2 Å³/f.u.
* energy relative to the lowest polymorph listed for this composition: 0.000 eV per atom
* total magnetization: 0.57 μB/atom

Cell and atoms, written as extended XYZ:
```
5
Lattice="4.297 0.000 0.000 0.000 4.297 0.000 0.000 0.000 5.695" Properties=species:S:1:pos:R:3 pbc="T T T"
Sr 0.000 0.000 0.000
Mo 2.149 2.149 2.848
I 2.149 2.149 0.000
O 0.000 2.149 2.848
O 2.149 0.000 2.848
```